[1]
Computed, not measured: a relaxed structure of TmCd5Hg8 at the PBE level of DFT.

Cell and atoms, written as POSCAR:
```
TmCd5Hg8
1.0
-2.474 -4.858 5.412
7.651 -0.466 -0.520
-1.981 7.190 1.841
Tm Cd Hg
1 5 8
direct
0.250 0.500 0.750 Tm
0.016 0.360 0.114 Cd
0.886 0.902 0.246 Cd
0.754 0.640 0.656 Cd
0.500 0.000 0.500 Cd
0.344 0.098 0.984 Cd
0.122 0.739 0.047 Hg
0.953 0.075 0.692 Hg
0.775 0.268 0.375 Hg
0.625 0.400 0.893 Hg
0.493 0.600 0.225 Hg
0.618 0.925 0.878 Hg
0.308 0.261 0.382 Hg
0.107 0.732 0.507 Hg
```

Summary:
DOS at the Fermi energy: 4.77 states/eV per cell
DFT formation energy: -0.043 eV per atom
Density: 11112 kg/m3

***

[2]
Computed, not measured: a relaxed structure of TmCd2Hg at the PBE level of DFT.

Cell and atoms, written as POSCAR:
```
TmCd2Hg
1.0
5.050 -0.008 -0.009
-2.504 4.385 0.009
-2.500 -1.475 4.124
Tm Cd Hg
1 2 1
direct
0.125 0.312 0.438 Tm
0.125 0.813 0.937 Cd
0.625 0.063 0.688 Cd
0.625 0.562 0.187 Hg
```

Summary:
DOS at the Fermi energy: 1.73 states/eV per cell
DFT formation energy: -0.274 eV per atom
Density: 10825 kg/m3